Here is an optimized crystal structure of LaSmOs from the Alexandria database. Energies are from PBE.

```
3
Lattice="-0.1010 1.0246 -3.3359 -3.3141 -1.0734 -0.2293 -0.4885 6.3738 3.7992" Properties=species:S:1:pos:R:3 pbc="T T T"
Os -2.4491 2.1195 -1.1017
Sm -1.2640 3.6546 1.1607
La -0.1905 0.5509 0.1750
```

Computed properties:
Excess energy over the best structure of this formula in the dataset in eV per atom: 0.035
DFT formation energy in eV/atom: -0.074